Entry 1:
4
Lattice="-2.4615 -4.5354 -2.5293 -4.2388 -2.8245 2.6611 -5.3855 0.3802 -1.9694" Properties=species:S:1:pos:R:3 comment="CsYHg2 (GGA-PBE, optimized geometry)" dos_ef_per_ev_cell=2.879 m_tot_mub_per_fu=0.00 final_energy_ev_per_atom=-1.92 crystal_system=cubic pbc="T T T"
Cs -6.0429 -3.4899 -0.9188
Y 0.0000 0.0000 0.0000
Hg -3.0214 -1.7449 -0.4594
Hg -9.0643 -5.2348 -1.3782

=====

Entry 2:
5
Lattice="-7.0548 0.7245 1.0379 0.8533 -1.6187 6.9299 0.9349 6.9446 1.5070" Properties=species:S:1:pos:R:3 comment="Cs3YHg (GGA-PBE, optimized geometry)" dos_ef_per_ev_cell=8.065 m_tot_mub_per_fu=1.05 final_energy_ev_per_atom=-1.36 polymorph_energy_mev_per_atom=0 crystal_system=cubic pbc="T T T"
Cs 0.4267 -0.8093 3.4650
Cs 0.4674 3.4723 0.7535
Cs -3.5274 0.3622 0.5190
Y -2.6333 3.0252 4.7374
Hg 0.0000 0.0000 0.0000

=====

Entry 3:
20
Lattice="-7.4222 -2.4786 -2.0610 0.2047 -8.0562 8.9512 -5.3191 11.7859 4.9814" Properties=species:S:1:pos:R:3 comment="Cs6ZnHg3 (GGA-PBE, optimized geometry)" dos_ef_per_ev_cell=14.915 m_tot_mub_per_fu=0.00 final_energy_ev_per_atom=-0.81 crystal_system=monoclinic pbc="T T T"
Cs -7.6527 -3.8798 2.2669
Cs -9.1885 0.6242 3.1294
Cs -11.4238 5.6283 3.3078
Cs -1.1128 -4.3772 8.5637
Cs -3.3481 0.6269 8.7421
Cs -4.8839 5.1309 9.6046
Cs -7.3458 -1.0584 10.0285
Cs -9.2312 3.3288 10.7940
Cs -5.2815 -3.1639 6.2314
Cs -7.2551 4.4150 5.6402
Cs -3.3054 -2.0776 1.0776
Cs -5.1908 2.3096 1.8430
Zn -6.2683 0.6256 5.9358
Zn 0.0000 0.0000 0.0000
Hg -3.9064 -0.0684 4.6649
Hg -3.6088 -5.2674 3.4451
Hg -8.6302 1.3196 7.2067
Hg -5.7429 2.0371 11.8313
Hg -2.6595 5.8929 2.4907
Hg -6.7937 -0.7860 0.0403

=====

Entry 4:
80
Lattice="17.0480 0.0000 0.0000 -5.6827 16.0730 0.0000 -5.6827 -8.0365 13.9196" Properties=species:S:1:pos:R:3 comment="Cs5Zn3Hg12 (GGA-PBE, optimized geometry)" dos_ef_per_ev_cell=54.085 m_tot_mub_per_fu=0.00 final_energy_ev_per_atom=-0.61 crystal_system=cubic pbc="T T T"
Zn 9.9447 5.0228 1.7400
Zn 9.9447 11.0502 1.7400
Zn -1.4207 7.0319 8.6998
Zn 1.4207 -1.0046 5.2199
Zn 12.7860 0.0000 3.4799
Zn 1.4207 8.0365 3.4799
Zn 4.2620 0.0000 10.4397
Zn -7.1033 8.0365 10.4397
Zn 4.2620 9.0411 8.6998
Zn 7.1033 1.0046 5.2199
Zn -4.2620 -3.0137 12.1797
Zn -4.2620 3.0137 12.1797
Cs -1.4207 4.0182 3.4799
Cs -2.8413 8.0365 0.0000
Cs 0.0000 0.0000 0.0000
Cs 4.2620 3.0137 1.7400
Cs 5.6827 -4.0182 6.9598
Cs 5.6827 8.0365 0.0000
Cs -4.2620 9.0411 5.2199
Cs 7.1033 -5.0228 12.1797
Cs 7.1033 7.0319 5.2199
Cs 1.4207 -4.0182 10.4397
Cs 4.2620 12.0547 3.4799
Cs 2.8413 4.0182 6.9598
Cs 8.5240 0.0000 0.0000
Cs -2.8413 -4.0182 6.9598
Cs -1.4207 1.0046 8.6998
Cs -1.4207 13.0593 1.7400
Cs -5.6827 4.0182 6.9598
Cs 9.9447 -1.0046 8.6998
Cs 1.4207 5.0228 12.1797
Cs 7.1033 4.0182 10.4397
Hg 11.4553 1.4123 1.5061
Hg -0.0900 6.0287 6.4898
Hg 11.7785 3.7884 3.4056
Hg 8.1108 2.9631 1.9762
Hg 2.4869 6.9398 9.0079
Hg 11.3340 7.3968 2.0481
Hg -0.4132 8.8618 5.3818
Hg -5.2695 13.1099 1.9762
Hg 0.3544 9.1332 9.0079
Hg 8.5553 8.6762 2.0481
Hg 8.4340 3.4201 4.9837
Hg 8.4340 14.6607 1.5061
Hg -5.3282 7.2527 8.4659
Hg 2.8101 6.5827 1.5780
Hg -5.5927 12.6529 4.9837
Hg 2.7513 -2.0078 7.4299
Hg -0.3544 0.3129 3.5542
Hg 2.8101 10.1300 0.4701
Hg 8.1108 12.2846 3.4056
Hg 0.0313 5.9430 0.4701
Hg -3.1958 8.3494 10.3655
Hg 3.2545 7.2112 5.3818
Hg 8.1696 8.8203 8.4659
Hg 5.6514 -1.4538 12.3416
Hg 2.4282 0.8253 8.5378
Hg -2.4869 -0.7838 5.4537
Hg 0.0313 9.4903 1.5780
Hg -2.4282 -4.2481 10.5140
Hg 8.8784 -0.3129 3.5542
Hg 5.6514 2.0935 13.4496
Hg 2.8726 -2.0935 13.4496
Hg 2.9313 10.0443 6.4898
Hg 6.0371 7.7236 10.3655
Hg 11.2753 -4.6164 8.9360
Hg 11.0109 0.7838 5.4537
Hg -2.7513 -6.6242 12.4135
Hg 2.8726 1.4538 12.3416
Hg 5.3282 -1.0967 4.9117
Hg -2.8726 -0.6397 11.8716
Hg -2.7513 4.6164 8.9360
Hg 10.9522 -5.0734 11.9435
Hg 6.0958 -0.8253 8.5378
Hg -2.4282 5.0734 11.9435
Hg -5.6514 0.6397 11.8716
Hg 3.1958 1.0967 4.9117
Hg -6.0958 4.2481 10.5140
Hg 5.7727 2.0078 7.4299
Hg -5.7727 6.6242 12.4135

=====

- What is the formula in the fourth record?
  Cs5Zn3Hg12